A relaxed structure of KW3, computed with PBE.

## Properties
relative energy among the computed polymorphs: 14 meV per atom
energy relative to the elements: 4.124 eV per formula unit
total moment: 0.0 μB per formula unit
space-group type: R-3m, No. 166

a = 11.401 Å, b = 11.401 Å, c = 11.401 Å
α = 14.13°, β = 14.13°, γ = 14.13°
Positions (direct):
W 0.761 0.761 0.761
W 0.500 0.500 0.500
W 0.239 0.239 0.239
K 0.000 0.000 0.000